# PBE GaSnAu2, optimized geometry
data_GaSnAu2
_chemical_formula_sum 'Ga2 Sn2 Au4'
_cell_length_a 7.0238
_cell_length_b 3.7226
_cell_length_c 7.4370
_cell_angle_alpha 90.00
_cell_angle_beta 108.16
_cell_angle_gamma 90.00
_symmetry_space_group_name_H-M 'P 1 21/m 1'
_symmetry_Int_Tables_number 11
loop_
_symmetry_equiv_pos_as_xyz
'x,y,z'
'-x,-y,-z'
'-x,y+1/2,-z'
'x,-y+1/2,z'
loop_
_atom_site_label
_atom_site_type_symbol
_atom_site_fract_x
_atom_site_fract_y
_atom_site_fract_z
Ga1 Ga 0.2102 0.2500 0.1091
Sn1 Sn 0.2486 0.7500 0.6341
Au1 Au 0.0080 0.2500 0.7565
Au2 Au 0.4337 0.7500 0.3198
# Formation energy: -0.126 eV/atom
# Energy above the most stable polymorph in this dataset: 59.1 meV/atom
# Uncorrected energy: -3.52 eV per atom
# Size of the total moment: 0.00 μB per formula unit